Material: AsSeBr2O
Method: DFT, SCAN
State: single point on PBEsol structure

Computed properties:
The value obtained for the raw formation energy is 76 kJ per mole of atoms.

Geometry as CIF:
```
data_AsSeBr2O
_chemical_formula_sum 'As1 Se1 Br2 O1'
_symmetry_space_group_name_H-M 'P 4/m m m'
_symmetry_Int_Tables_number 123
_symmetry_space_group_name_Hall '-P 4 2'
_cell_length_a 4.7846
_cell_length_b 4.7846
_cell_length_c 4.1756
_cell_angle_alpha 90.00
_cell_angle_beta 90.00
_cell_angle_gamma 90.00
loop_
_atom_site_label
_atom_site_fract_x
_atom_site_fract_y
_atom_site_fract_z
As1 0.0000 0.0000 0.0000
Se1 0.5000 0.5000 0.0000
Br1 0.0000 0.5000 0.5000
O1 0.5000 0.5000 0.5000
```



Material: TcPPb
Method: DFT, SCAN
State: single point on PBEsol structure

Computed properties:
As for the formation energy: 0.2243 eV/atom. The calculation puts the energy above the most stable polymorph in this dataset at 178 meV/atom.

Geometry as CIF:
```
data_TcPPb
_chemical_formula_sum 'Tc1 P1 Pb1'
_symmetry_space_group_name_H-M 'P -6 m 2'
_symmetry_Int_Tables_number 187
_symmetry_space_group_name_Hall 'P -6 2'
_cell_length_a 3.9192
_cell_length_b 3.9192
_cell_length_c 4.5999
_cell_angle_alpha 90.00
_cell_angle_beta 90.00
_cell_angle_gamma 120.00
loop_
_atom_site_label
_atom_site_fract_x
_atom_site_fract_y
_atom_site_fract_z
Tc1 0.0000 0.0000 0.0000
P1 0.3333 0.6667 0.0000
Pb1 0.6667 0.3333 0.5000
```



Material: Cu4RhAu
Method: DFT, SCAN
State: single point on PBEsol structure

Computed properties:
As for the formation energy: 0.0537 eV/atom.

Geometry as CIF:
```
data_Cu4RhAu
_chemical_formula_sum 'Cu16 Rh4 Au4'
_symmetry_space_group_name_H-M 'F -4 3 m'
_symmetry_Int_Tables_number 216
_symmetry_space_group_name_Hall 'F -4 2 3'
_cell_length_a 6.7037
_cell_length_b 6.7037
_cell_length_c 6.7037
_cell_angle_alpha 90.00
_cell_angle_beta 90.00
_cell_angle_gamma 90.00
loop_
_atom_site_label
_atom_site_fract_x
_atom_site_fract_y
_atom_site_fract_z
Cu1 0.1247 0.1247 0.1247
Rh1 0.2500 0.2500 0.7500
Au1 0.0000 0.0000 0.5000
```



Going through the records in order, we get calculated volume values of 19.12; 20.40; 12.55 Å³ per atom.